(1)
The following is a PBE calculation of an optimized crystal structure of TlZnH2, from Alexandria.

Geometry as CIF:
```
data_TlZnH2
_chemical_formula_sum 'Tl4 Zn4 H8'
_cell_length_a 4.9935
_cell_length_b 4.9935
_cell_length_c 9.7726
_cell_angle_alpha 90.00
_cell_angle_beta 90.00
_cell_angle_gamma 90.00
_space_group_name_H-M_alt 'I -4 2 d'
_space_group_IT_number 122
_space_group_name_Hall 'I -4 2bw'
loop_
_atom_site_label
_atom_site_fract_x
_atom_site_fract_y
_atom_site_fract_z
Tl1 0.0000 0.0000 0.0000
Zn1 0.0000 0.0000 0.5000
H1 0.0050 0.7500 0.6250
```

Values from the calculation:
As for the energy relative to the lowest polymorph listed for this composition: 0 meV per atom. The magnetic moment is 0.000 μB per cell.

=====

(2)
The following is a PBE calculation of an optimized crystal structure of Tl3ZnH, from Alexandria.

Geometry as CIF:
```
data_Tl3ZnH
_chemical_formula_sum 'Tl3 Zn1 H1'
_cell_length_a 5.3903
_cell_length_b 5.3903
_cell_length_c 5.3903
_cell_angle_alpha 90.00
_cell_angle_beta 90.00
_cell_angle_gamma 90.00
_space_group_name_H-M_alt 'P m -3 m'
_space_group_IT_number 221
_space_group_name_Hall '-P 4 2 3'
loop_
_atom_site_label
_atom_site_fract_x
_atom_site_fract_y
_atom_site_fract_z
Tl1 0.0000 0.0000 0.5000
Zn1 0.0000 0.0000 0.0000
H1 0.5000 0.5000 0.5000
```

Values from the calculation:
For the total energy, the calculation gives -8.81 eV per formula unit. The magnetic moment is 0.000 μB per cell.

=====

(3)
The following is a PBE calculation of an optimized crystal structure of TlZnH2, from Alexandria.

Geometry as CIF:
```
data_TlZnH2
_chemical_formula_sum 'Tl4 Zn4 H8'
_cell_length_a 6.0863
_cell_length_b 6.0863
_cell_length_c 6.0863
_cell_angle_alpha 90.00
_cell_angle_beta 90.00
_cell_angle_gamma 90.00
_space_group_name_H-M_alt 'F m -3 m'
_space_group_IT_number 225
_space_group_name_Hall '-F 4 2 3'
loop_
_atom_site_label
_atom_site_fract_x
_atom_site_fract_y
_atom_site_fract_z
Tl1 0.0000 0.0000 0.0000
Zn1 0.0000 0.0000 0.5000
H1 0.2500 0.2500 0.2500
```

Values from the calculation:
As for the energy relative to the lowest polymorph listed for this composition: 443 meV per atom. The magnetic moment is 0.000 μB per cell.

=====

(4)
The following is a PBE calculation of an optimized crystal structure of Zr2Tl2H, from Alexandria.

Geometry as CIF:
```
data_Zr2Tl2H
_chemical_formula_sum 'Zr4 Tl4 H2'
_cell_length_a 6.1829
_cell_length_b 6.1829
_cell_length_c 5.3070
_cell_angle_alpha 90.00
_cell_angle_beta 90.00
_cell_angle_gamma 90.00
_space_group_name_H-M_alt 'P 4/m b m'
_space_group_IT_number 127
_space_group_name_Hall '-P 4 2ab'
loop_
_atom_site_label
_atom_site_fract_x
_atom_site_fract_y
_atom_site_fract_z
Zr1 0.1699 0.3301 0.0000
Tl1 0.1727 0.6727 0.5000
H1 0.0000 0.0000 0.0000
```

Values from the calculation:
For the total energy, the calculation gives -25.29 eV per formula unit. The magnetic moment is 0.000 μB per cell.

=====

(5)
The following is a PBE calculation of an optimized crystal structure of Zr6Tl3H, from Alexandria.

Geometry as CIF:
```
data_Zr6Tl3H
_chemical_formula_sum 'Zr12 Tl6 H2'
_cell_length_a 10.5005
_cell_length_b 5.7594
_cell_length_c 7.2786
_cell_angle_alpha 90.00
_cell_angle_beta 99.06
_cell_angle_gamma 90.00
_space_group_name_H-M_alt 'C 1 2/m 1'
_space_group_IT_number 12
loop_
_space_group_symop_operation_xyz
'x,y,z'
'-x,-y,-z'
'-x,y,-z'
'x,-y,z'
'x+1/2,y+1/2,z'
'-x+1/2,-y+1/2,-z'
'-x+1/2,y+1/2,-z'
'x+1/2,-y+1/2,z'
loop_
_atom_site_label
_atom_site_fract_x
_atom_site_fract_y
_atom_site_fract_z
Zr1 0.1036 0.2459 0.3566
Zr2 0.1398 0.0000 0.9107
Tl1 0.0000 0.5000 0.0000
Tl2 0.1670 0.5000 0.7245
H1 0.0000 0.0000 0.5000
```

Values from the calculation:
As for the energy relative to the lowest polymorph listed for this composition: 199 meV per atom. The magnetic moment is 0.000 μB per cell.

=====

(6)
The following is a PBE calculation of an optimized crystal structure of ZrTlH2, from Alexandria.

Geometry as CIF:
```
data_ZrTlH2
_chemical_formula_sum 'Zr4 Tl4 H8'
_cell_length_a 5.9504
_cell_length_b 5.9504
_cell_length_c 5.9504
_cell_angle_alpha 90.00
_cell_angle_beta 90.00
_cell_angle_gamma 90.00
_space_group_name_H-M_alt 'F m -3 m'
_space_group_IT_number 225
_space_group_name_Hall '-F 4 2 3'
loop_
_atom_site_label
_atom_site_fract_x
_atom_site_fract_y
_atom_site_fract_z
Zr1 0.0000 0.0000 0.0000
Tl1 0.0000 0.0000 0.5000
H1 0.2500 0.2500 0.2500
```

Values from the calculation:
As for the energy relative to the lowest polymorph listed for this composition: 716 meV per atom. The magnetic moment is 0.000 μB per cell.

=====

(7)
The following is a PBE calculation of an optimized crystal structure of Zr4Tl3H2, from Alexandria.

Geometry as CIF:
```
data_Zr4Tl3H2
_chemical_formula_sum 'Zr16 Tl12 H8'
_cell_length_a 13.0376
_cell_length_b 9.0192
_cell_length_c 5.9825
_cell_angle_alpha 90.00
_cell_angle_beta 103.91
_cell_angle_gamma 90.00
_space_group_name_H-M_alt 'C 1 2/c 1'
_space_group_IT_number 15
loop_
_space_group_symop_operation_xyz
'x,y,z'
'-x,-y,-z'
'-x,y,-z+1/2'
'x,-y,z+1/2'
'x+1/2,y+1/2,z'
'-x+1/2,-y+1/2,-z'
'-x+1/2,y+1/2,-z+1/2'
'x+1/2,-y+1/2,z+1/2'
loop_
_atom_site_label
_atom_site_fract_x
_atom_site_fract_y
_atom_site_fract_z
Zr1 0.1230 0.2437 0.0551
Zr2 0.1960 0.4158 0.5827
Tl1 0.0000 0.4997 0.2500
Tl2 0.1017 0.1020 0.5635
H1 0.2314 0.3696 0.9344
```

Values from the calculation:
For the total energy, the calculation gives -49.39 eV per formula unit. The magnetic moment is 0.000 μB per cell.

=====

(8)
The following is a PBE calculation of an optimized crystal structure of Zr6Tl3H, from Alexandria.

Geometry as CIF:
```
data_Zr6Tl3H
_chemical_formula_sum 'Zr24 Tl12 H4'
_cell_length_a 12.2375
_cell_length_b 14.7396
_cell_length_c 4.6112
_cell_angle_alpha 90.00
_cell_angle_beta 90.00
_cell_angle_gamma 90.00
_space_group_name_H-M_alt 'C m c m'
_space_group_IT_number 63
_space_group_name_Hall '-C 2c 2'
loop_
_atom_site_label
_atom_site_fract_x
_atom_site_fract_y
_atom_site_fract_z
Zr1 0.0000 0.0773 0.2500
Zr2 0.0000 0.2516 0.7500
Zr3 0.1668 0.4202 0.7500
Zr4 0.1686 0.2502 0.2500
Tl1 0.0000 0.4090 0.2500
Tl2 0.1658 0.0932 0.7500
H1 0.0000 0.2163 0.2500
```

Values from the calculation:
As for the energy relative to the lowest polymorph listed for this composition: 0 meV per atom. The magnetic moment is 0.000 μB per cell.

=====

(9)
The following is a PBE calculation of an optimized crystal structure of Zr3TlH2, from Alexandria.

Geometry as CIF:
```
data_Zr3TlH2
_chemical_formula_sum 'Zr6 Tl2 H4'
_cell_length_a 4.3989
_cell_length_b 4.3989
_cell_length_c 9.7419
_cell_angle_alpha 90.00
_cell_angle_beta 90.00
_cell_angle_gamma 90.00
_space_group_name_H-M_alt 'I 4/m m m'
_space_group_IT_number 139
_space_group_name_Hall '-I 4 2'
loop_
_atom_site_label
_atom_site_fract_x
_atom_site_fract_y
_atom_site_fract_z
Zr1 0.0000 0.0000 0.0000
Zr2 0.0000 0.5000 0.2500
Tl1 0.0000 0.0000 0.5000
H1 0.0000 0.0000 0.2095
```

Values from the calculation:
As for the energy relative to the lowest polymorph listed for this composition: 0 meV per atom. The magnetic moment is 0.000 μB per cell.

=====

(10)
The following is a PBE calculation of an optimized crystal structure of ZrTlH3, from Alexandria.

Geometry as CIF:
```
data_ZrTlH3
_chemical_formula_sum 'Zr1 Tl1 H3'
_cell_length_a 3.9662
_cell_length_b 3.9662
_cell_length_c 3.9662
_cell_angle_alpha 90.00
_cell_angle_beta 90.00
_cell_angle_gamma 90.00
_space_group_name_H-M_alt 'P m -3 m'
_space_group_IT_number 221
_space_group_name_Hall '-P 4 2 3'
loop_
_atom_site_label
_atom_site_fract_x
_atom_site_fract_y
_atom_site_fract_z
Zr1 0.0000 0.0000 0.0000
Tl1 0.5000 0.5000 0.5000
H1 0.0000 0.0000 0.5000
```

Values from the calculation:
As for the energy relative to the lowest polymorph listed for this composition: 0 meV per atom. The magnetic moment is 0.000 μB per cell.

=====

(11)
The following is a PBE calculation of an optimized crystal structure of ZrTlH2, from Alexandria.

Geometry as CIF:
```
data_ZrTlH2
_chemical_formula_sum 'Zr3 Tl3 H6'
_cell_length_a 3.4044
_cell_length_b 3.4044
_cell_length_c 17.1570
_cell_angle_alpha 90.00
_cell_angle_beta 90.00
_cell_angle_gamma 120.00
_space_group_name_H-M_alt 'R 3 m'
_space_group_IT_number 160
_space_group_name_Hall 'R 3 -2"'
loop_
_atom_site_label
_atom_site_fract_x
_atom_site_fract_y
_atom_site_fract_z
Zr1 0.0000 0.0000 0.0000
Tl1 0.0000 0.0000 0.8211
H1 0.0000 0.0000 0.3496
H2 0.0000 0.0000 0.6275
```

Values from the calculation:
As for the energy relative to the lowest polymorph listed for this composition: 0 meV per atom. The magnetic moment is 0.000 μB per cell.

=====

(12)
The following is a PBE calculation of an optimized crystal structure of Zr3Tl2H, from Alexandria.

Geometry as CIF:
```
data_Zr3Tl2H
_chemical_formula_sum 'Zr6 Tl4 H2'
_cell_length_a 4.4754
_cell_length_b 15.9227
_cell_length_c 3.3502
_cell_angle_alpha 90.00
_cell_angle_beta 90.00
_cell_angle_gamma 90.00
_space_group_name_H-M_alt 'C m m m'
_space_group_IT_number 65
_space_group_name_Hall '-C 2 2'
loop_
_atom_site_label
_atom_site_fract_x
_atom_site_fract_y
_atom_site_fract_z
Zr1 0.0000 0.0000 0.0000
Zr2 0.0000 0.3948 0.5000
Tl1 0.0000 0.1911 0.0000
H1 0.0000 0.5000 0.0000
```

Values from the calculation:
For the total energy, the calculation gives -34.21 eV per formula unit. The magnetic moment is 0.000 μB per cell.